Entry 1:
Compound: TePOs2
Source: the Alexandria database
Functional: PBE
Structure: optimized geometry

Geometry as extended XYZ:
```
4
Lattice="3.060 0.000 0.000 0.000 3.807 0.000 0.000 0.000 5.763" Properties=species:S:1:pos:R:3 pbc="T T T"
Te 0.000 0.000 0.000
P 1.530 1.903 3.445
Os 0.000 0.000 2.984
Os 1.530 1.903 1.178
```

As for the electronic total energy: -29.35 eV for the cell shown. The calculation puts the energy above the most stable polymorph in this dataset at 208 meV/atom. Its symmetry is Pmm2, No. 25. As for the uncorrected formation energy: 1.7 eV per formula unit. The total magnetization comes out at 0.00 μB/cell. The calculation puts the calculated volume at 16.785 Å³/atom.

Entry 2:
Compound: TePOs2
Source: the Alexandria database
Functional: PBE
Structure: optimized geometry

Geometry as extended XYZ:
```
4
Lattice="-1.525 1.759 6.510 1.525 -1.759 6.510 1.525 1.759 -6.510" Properties=species:S:1:pos:R:3 pbc="T T T"
Te 0.000 0.000 0.000
P 1.525 0.000 3.209
Os 0.000 0.000 8.125
Os 0.000 1.759 3.924
```

As for the electronic total energy: -29.45 eV for the cell shown. The calculation puts the energy above the most stable polymorph in this dataset at 182 meV/atom. Its symmetry is Imm2, No. 44. As for the uncorrected formation energy: 1.6 eV per formula unit. The total magnetization comes out at 0.00 μB/cell. The calculation puts the calculated volume at 17.459 Å³/atom.

Entry 3:
Compound: TePOs2
Source: the Alexandria database
Functional: PBE
Structure: optimized geometry

Geometry as extended XYZ:
```
4
Lattice="2.952 0.000 0.000 0.000 4.490 0.000 0.000 0.000 4.967" Properties=species:S:1:pos:R:3 pbc="T T T"
Te 0.000 0.000 0.000
P 1.476 0.000 2.483
Os 0.000 2.245 2.483
Os 1.476 2.245 0.000
```

As for the electronic total energy: -26.69 eV for the cell shown. The calculation puts the energy above the most stable polymorph in this dataset at 873 meV/atom. Its symmetry is Pmmm, No. 47. As for the uncorrected formation energy: 4.3 eV per formula unit. The total magnetization comes out at 0.00 μB/cell. The calculation puts the calculated volume at 16.458 Å³/atom.

Entry 4:
Compound: TePOs2
Source: the Alexandria database
Functional: PBE
Structure: optimized geometry

Geometry as extended XYZ:
```
4
Lattice="2.872 -4.386 0.000 2.872 4.386 0.000 -1.616 0.000 2.640" Properties=species:S:1:pos:R:3 pbc="T T T"
Te 0.000 0.000 0.000
P 2.872 0.000 0.000
Os 0.628 2.193 1.320
Os 0.628 -2.193 1.320
```

As for the electronic total energy: -26.74 eV for the cell shown. The calculation puts the energy above the most stable polymorph in this dataset at 860 meV/atom. Its symmetry is C2/m, No. 12. As for the uncorrected formation energy: 4.3 eV per formula unit. The total magnetization comes out at 0.00 μB/cell. The calculation puts the calculated volume at 16.625 Å³/atom.

Entry 5:
Compound: Te4POs
Source: the Alexandria database
Functional: PBE
Structure: optimized geometry

Geometry as extended XYZ:
```
6
Lattice="0.000 4.321 4.321 4.321 0.000 4.321 4.321 4.321 0.000" Properties=species:S:1:pos:R:3 pbc="T T T"
Te 1.078 1.078 1.078
Te 3.243 3.243 1.078
Te 3.243 1.078 3.243
Te 1.078 3.243 3.243
P 4.321 4.321 4.321
Os 6.482 6.482 6.482
```

As for the electronic total energy: -19.27 eV for the cell shown. Its symmetry is F-43m, No. 216. As for the uncorrected formation energy: 9.9 eV per formula unit. The total magnetization comes out at 3.10 μB/cell. The calculation puts the calculated volume at 26.898 Å³/atom.

Entry 6:
Compound: TePOs2
Source: the Alexandria database
Functional: PBE
Structure: optimized geometry

Geometry as extended XYZ:
```
4
Lattice="0.000 3.214 3.214 3.214 0.000 3.214 3.214 3.214 0.000" Properties=species:S:1:pos:R:3 pbc="T T T"
Te 0.000 0.000 0.000
P 4.821 4.821 4.821
Os 1.607 1.607 1.607
Os 3.214 3.214 3.214
```

As for the electronic total energy: -26.37 eV for the cell shown. The calculation puts the energy above the most stable polymorph in this dataset at 952 meV/atom. Its symmetry is F-43m, No. 216. As for the uncorrected formation energy: 4.6 eV per formula unit. The total magnetization comes out at 0.00 μB/cell. The calculation puts the calculated volume at 16.596 Å³/atom.

Entry 7:
Compound: TePOs2
Source: the Alexandria database
Functional: PBE
Structure: optimized geometry

Geometry as extended XYZ:
```
4
Lattice="1.464 -2.566 0.000 1.464 2.566 0.000 0.000 0.000 9.909" Properties=species:S:1:pos:R:3 pbc="T T T"
Te 0.000 0.000 0.000
P 1.464 0.000 6.399
Os 0.000 0.000 4.602
Os 1.464 0.000 2.308
```

As for the electronic total energy: -27.87 eV for the cell shown. The calculation puts the energy above the most stable polymorph in this dataset at 576 meV/atom. Its symmetry is Cmm2, No. 35. As for the uncorrected formation energy: 3.1 eV per formula unit. The total magnetization comes out at 0.00 μB/cell. The calculation puts the calculated volume at 18.609 Å³/atom.

Entry 8:
Compound: TePOs2
Source: the Alexandria database
Functional: PBE
Structure: optimized geometry

Geometry as extended XYZ:
```
4
Lattice="-1.896 1.896 4.461 1.896 -1.896 4.461 1.896 1.896 -4.461" Properties=species:S:1:pos:R:3 pbc="T T T"
Te 0.000 0.000 0.000
P 0.000 1.896 2.230
Os 1.896 0.000 2.230
Os 0.000 0.000 4.461
```

As for the electronic total energy: -27.24 eV for the cell shown. The calculation puts the energy above the most stable polymorph in this dataset at 736 meV/atom. Its symmetry is I-4m2, No. 119. As for the uncorrected formation energy: 3.8 eV per formula unit. The total magnetization comes out at 0.00 μB/cell. The calculation puts the calculated volume at 16.041 Å³/atom.

Entry 9:
Compound: TePOs
Source: the Alexandria database
Functional: PBE
Structure: optimized geometry

Geometry as extended XYZ:
```
3
Lattice="0.000 3.065 3.065 3.065 0.000 3.065 3.065 3.065 0.000" Properties=species:S:1:pos:R:3 pbc="T T T"
Te 0.000 0.000 0.000
P 3.065 3.065 3.065
Os 1.532 1.532 1.532
```

As for the electronic total energy: -19.18 eV for the cell shown. The calculation puts the energy above the most stable polymorph in this dataset at 339 meV/atom. Its symmetry is F-43m, No. 216. As for the uncorrected formation energy: 0.6 eV per formula unit. The total magnetization comes out at 0.00 μB/cell. The calculation puts the calculated volume at 19.194 Å³/atom.

Entry 10:
Compound: TePOs2
Source: the Alexandria database
Functional: PBE
Structure: optimized geometry

Geometry as extended XYZ:
```
4
Lattice="3.015 0.000 0.000 0.000 3.015 0.000 0.000 0.000 6.927" Properties=species:S:1:pos:R:3 pbc="T T T"
Te 0.000 0.000 0.000
P 0.000 0.000 3.464
Os 1.508 1.508 2.091
Os 1.508 1.508 4.836
```

As for the electronic total energy: -28.98 eV for the cell shown. The calculation puts the energy above the most stable polymorph in this dataset at 301 meV/atom. Its symmetry is P4/mmm, No. 123. As for the uncorrected formation energy: 2.0 eV per formula unit. The total magnetization comes out at 0.00 μB/cell. The calculation puts the calculated volume at 15.747 Å³/atom.

Entry 11:
Compound: TePOs
Source: the Alexandria database
Functional: PBE
Structure: optimized geometry

Geometry as extended XYZ:
```
3
Lattice="-1.507 1.507 6.193 1.507 -1.507 6.193 1.507 1.507 -6.193" Properties=species:S:1:pos:R:3 pbc="T T T"
Te 0.000 0.000 0.000
P 0.000 0.000 3.370
Os 0.000 0.000 8.347
```

As for the electronic total energy: -18.93 eV for the cell shown. The calculation puts the energy above the most stable polymorph in this dataset at 419 meV/atom. Its symmetry is I4mm, No. 107. As for the uncorrected formation energy: 0.8 eV per formula unit. The total magnetization comes out at 0.00 μB/cell. The calculation puts the calculated volume at 18.749 Å³/atom.

Entry 12:
Compound: TePOs2
Source: the Alexandria database
Functional: PBE
Structure: optimized geometry

Geometry as extended XYZ:
```
4
Lattice="1.472 -2.625 0.000 1.472 2.625 0.000 0.000 0.000 8.773" Properties=species:S:1:pos:R:3 pbc="T T T"
Te 0.000 0.000 0.000
P 0.000 0.000 4.386
Os 1.472 0.000 2.621
Os 1.472 0.000 6.152
```

As for the electronic total energy: -28.07 eV for the cell shown. The calculation puts the energy above the most stable polymorph in this dataset at 528 meV/atom. Its symmetry is Cmmm, No. 65. As for the uncorrected formation energy: 2.9 eV per formula unit. The total magnetization comes out at 0.00 μB/cell. The calculation puts the calculated volume at 16.955 Å³/atom.

Entry 13:
Compound: TePOs2
Source: the Alexandria database
Functional: PBE
Structure: optimized geometry

Geometry as extended XYZ:
```
4
Lattice="2.997 0.000 0.000 0.000 4.294 0.000 -0.088 0.000 6.431" Properties=species:S:1:pos:R:3 pbc="T T T"
Te 0.000 0.000 0.000
P 1.425 2.147 2.937
Os 1.423 0.000 3.991
Os 2.921 2.147 4.758
```

As for the electronic total energy: -29.75 eV for the cell shown. The calculation puts the energy above the most stable polymorph in this dataset at 108 meV/atom. Its symmetry is Pm, No. 6. As for the uncorrected formation energy: 1.3 eV per formula unit. The total magnetization comes out at 0.00 μB/cell. The calculation puts the calculated volume at 20.689 Å³/atom.

Entry 14:
Compound: TePOs2
Source: the Alexandria database
Functional: PBE
Structure: optimized geometry

Geometry as extended XYZ:
```
4
Lattice="2.996 0.000 0.000 0.000 2.996 0.000 0.000 0.000 7.891" Properties=species:S:1:pos:R:3 pbc="T T T"
Te 0.000 0.000 0.000
P 1.498 1.498 4.908
Os 0.000 0.000 3.658
Os 1.498 1.498 1.670
```

As for the electronic total energy: -29.58 eV for the cell shown. The calculation puts the energy above the most stable polymorph in this dataset at 150 meV/atom. Its symmetry is P4mm, No. 99. As for the uncorrected formation energy: 1.4 eV per formula unit. The total magnetization comes out at 0.00 μB/cell. The calculation puts the calculated volume at 17.706 Å³/atom.